Here is crystalline Tb5NdSm3 at its relaxed geometry from Alexandria. Energies are from GGA-PBE.

a = 10.582 Å, b = 10.582 Å, c = 11.580 Å
α = 120.25°, β = 120.25°, γ = 33.65°
Sites, in units of the cell vectors:
Tb 0.038 0.684 0.359
Tb 0.089 0.911 0.750
Tb 0.120 0.521 0.662
Tb 0.316 0.962 0.141
Tb 0.479 0.880 0.838
Tb 0.521 0.120 0.162
Tb 0.684 0.038 0.859
Tb 0.880 0.479 0.338
Tb 0.911 0.089 0.250
Tb 0.962 0.316 0.641
Nd 0.395 0.605 0.250
Nd 0.605 0.395 0.750
Sm 0.104 0.530 0.961
Sm 0.470 0.896 0.539
Sm 0.500 0.500 0.000
Sm 0.500 0.500 0.500
Sm 0.530 0.104 0.461
Sm 0.896 0.470 0.039

Values from the calculation:
Energy relative to the elements: 2.7 eV/f.u.
Excess energy over the best structure of this formula in the dataset: 0.000 eV per atom
Size of the total moment: 0.000 μB per atom
Space group: No. 15
Energy: -4.3727 eV/atom